A plane-wave DFT calculation with PBE was carried out for a relaxed Sr2Sn5Pt3 crystal.

Summary:
* VASP energy: -4.86 eV/atom
* energy above the lowest structure with this stoichiometry: 8 meV per atom
* spin magnetization: 0.00 μB/cell
* DOS(E_F): 7.202 states/eV per cell
* V: 246.29 Å³/f.u.

```
data_Sr2Sn5Pt3
_cell_length_a 9.228
_cell_length_b 9.228
_cell_length_c 9.228
_cell_angle_alpha 104.43
_cell_angle_beta 90.98
_cell_angle_gamma 137.20
_space_group_name_H-M_alt 'P 1'
_space_group_IT_number 1
loop_
_space_group_symop_operation_xyz
'x,y,z'
loop_
_atom_site_label
_atom_site_fract_x
_atom_site_fract_y
_atom_site_fract_z
Sr1 0.141 0.234 0.375
Sr2 0.359 0.734 0.093
Sr3 0.641 0.266 0.907
Sr4 0.859 0.766 0.625
Sn1 0.017 0.750 0.267
Sn2 0.093 0.657 0.751
Sn3 0.250 0.250 0.000
Sn4 0.407 0.157 0.564
Sn5 0.483 0.750 0.733
Sn6 0.517 0.250 0.267
Sn7 0.593 0.843 0.436
Sn8 0.750 0.750 0.000
Sn9 0.907 0.343 0.249
Sn10 0.983 0.250 0.733
Pt1 0.134 0.887 0.021
Pt2 0.250 0.750 0.500
Pt3 0.366 0.387 0.753
Pt4 0.634 0.613 0.247
Pt5 0.750 0.250 0.500
Pt6 0.866 0.113 0.979
```

A plane-wave DFT calculation with PBE was carried out for a relaxed SrSn3Pt3 crystal.

Summary:
* VASP energy: -4.98 eV/atom
* spin magnetization: 0.00 μB/cell
* DOS(E_F): 7.309 states/eV per cell
* V: 199.63 Å³/f.u.

```
data_SrSn3Pt3
_cell_length_a 7.364
_cell_length_b 7.364
_cell_length_c 7.364
_cell_angle_alpha 90.00
_cell_angle_beta 90.00
_cell_angle_gamma 90.00
_space_group_name_H-M_alt 'P 1'
_space_group_IT_number 1
loop_
_space_group_symop_operation_xyz
'x,y,z'
loop_
_atom_site_label
_atom_site_fract_x
_atom_site_fract_y
_atom_site_fract_z
Sr1 0.000 0.000 0.000
Sr2 0.500 0.500 0.500
Sn1 0.000 0.250 0.500
Sn2 0.000 0.750 0.500
Sn3 0.250 0.500 0.000
Sn4 0.500 0.000 0.250
Sn5 0.500 0.000 0.750
Sn6 0.750 0.500 0.000
Pt1 0.000 0.500 0.250
Pt2 0.000 0.500 0.750
Pt3 0.250 0.000 0.500
Pt4 0.500 0.250 0.000
Pt5 0.500 0.750 0.000
Pt6 0.750 0.000 0.500
```

A plane-wave DFT calculation with PBE was carried out for a relaxed SrSn2Pt6 crystal.

Summary:
* VASP energy: -5.21 eV/atom
* spin magnetization: 0.00 μB/cell
* DOS(E_F): 6.649 states/eV per cell
* V: 207.39 Å³/f.u.

```
data_SrSn2Pt6
_cell_length_a 8.371
_cell_length_b 8.371
_cell_length_c 8.371
_cell_angle_alpha 60.00
_cell_angle_beta 60.00
_cell_angle_gamma 60.00
_space_group_name_H-M_alt 'P 1'
_space_group_IT_number 1
loop_
_space_group_symop_operation_xyz
'x,y,z'
loop_
_atom_site_label
_atom_site_fract_x
_atom_site_fract_y
_atom_site_fract_z
Sr1 0.125 0.125 0.125
Sr2 0.875 0.875 0.875
Sn1 0.000 0.500 0.500
Sn2 0.500 0.000 0.500
Sn3 0.500 0.500 0.000
Sn4 0.500 0.500 0.500
Pt1 0.123 0.123 0.627
Pt2 0.123 0.627 0.123
Pt3 0.123 0.627 0.627
Pt4 0.373 0.373 0.877
Pt5 0.373 0.877 0.373
Pt6 0.373 0.877 0.877
Pt7 0.627 0.123 0.123
Pt8 0.627 0.123 0.627
Pt9 0.627 0.627 0.123
Pt10 0.877 0.373 0.373
Pt11 0.877 0.373 0.877
Pt12 0.877 0.877 0.373
```

A plane-wave DFT calculation with PBE was carried out for a relaxed SrSnPt3 crystal.

Summary:
* VASP energy: -4.86 eV/atom
* energy above the lowest structure with this stoichiometry: 476 meV per atom
* spin magnetization: 0.00 μB/cell
* DOS(E_F): 3.842 states/eV per cell
* V: 128.14 Å³/f.u.

```
data_SrSnPt3
_cell_length_a 5.042
_cell_length_b 5.042
_cell_length_c 5.042
_cell_angle_alpha 90.00
_cell_angle_beta 90.00
_cell_angle_gamma 90.00
_space_group_name_H-M_alt 'P 1'
_space_group_IT_number 1
loop_
_space_group_symop_operation_xyz
'x,y,z'
loop_
_atom_site_label
_atom_site_fract_x
_atom_site_fract_y
_atom_site_fract_z
Sr1 0.000 0.000 0.000
Sn1 0.500 0.500 0.500
Pt1 0.000 0.500 0.500
Pt2 0.500 0.000 0.500
Pt3 0.500 0.500 0.000
```

A plane-wave DFT calculation with PBE was carried out for a relaxed SrSn12Pt4 crystal.

Summary:
* VASP energy: -4.76 eV/atom
* spin magnetization: 0.00 μB/cell
* DOS(E_F): 10.562 states/eV per cell
* V: 436.05 Å³/f.u.

```
data_SrSn12Pt4
_cell_length_a 8.274
_cell_length_b 8.274
_cell_length_c 8.274
_cell_angle_alpha 109.47
_cell_angle_beta 109.47
_cell_angle_gamma 109.47
_space_group_name_H-M_alt 'P 1'
_space_group_IT_number 1
loop_
_space_group_symop_operation_xyz
'x,y,z'
loop_
_atom_site_label
_atom_site_fract_x
_atom_site_fract_y
_atom_site_fract_z
Sr1 0.000 0.000 0.000
Sn1 0.159 0.345 0.503
Sn2 0.159 0.655 0.814
Sn3 0.186 0.841 0.345
Sn4 0.345 0.186 0.841
Sn5 0.345 0.503 0.159
Sn6 0.497 0.841 0.655
Sn7 0.503 0.159 0.345
Sn8 0.655 0.497 0.841
Sn9 0.655 0.814 0.159
Sn10 0.814 0.159 0.655
Sn11 0.841 0.345 0.186
Sn12 0.841 0.655 0.497
Pt1 0.000 0.000 0.500
Pt2 0.000 0.500 0.000
Pt3 0.500 0.000 0.000
Pt4 0.500 0.500 0.500
```

A plane-wave DFT calculation with PBE was carried out for a relaxed SrSn8Pt2 crystal.

Summary:
* VASP energy: -4.41 eV/atom
* energy above the lowest structure with this stoichiometry: 48 meV per atom
* spin magnetization: 0.00 μB/cell
* DOS(E_F): 6.407 states/eV per cell
* V: 352.98 Å³/f.u.

```
data_SrSn8Pt2
_cell_length_a 6.466
_cell_length_b 6.466
_cell_length_c 8.442
_cell_angle_alpha 90.00
_cell_angle_beta 90.00
_cell_angle_gamma 90.00
_space_group_name_H-M_alt 'P 1'
_space_group_IT_number 1
loop_
_space_group_symop_operation_xyz
'x,y,z'
loop_
_atom_site_label
_atom_site_fract_x
_atom_site_fract_y
_atom_site_fract_z
Sr1 0.000 0.000 0.000
Sn1 0.255 0.255 0.307
Sn2 0.255 0.255 0.693
Sn3 0.255 0.745 0.307
Sn4 0.255 0.745 0.693
Sn5 0.745 0.255 0.307
Sn6 0.745 0.255 0.693
Sn7 0.745 0.745 0.307
Sn8 0.745 0.745 0.693
Pt1 0.000 0.500 0.500
Pt2 0.500 0.000 0.500
```

A plane-wave DFT calculation with PBE was carried out for a relaxed Sr3SnPt2 crystal.

Summary:
* VASP energy: -4.27 eV/atom
* spin magnetization: 0.00 μB/cell
* DOS(E_F): 4.530 states/eV per cell
* V: 186.55 Å³/f.u.

```
data_Sr3SnPt2
_cell_length_a 5.601
_cell_length_b 9.215
_cell_length_c 7.329
_cell_angle_alpha 90.00
_cell_angle_beta 99.49
_cell_angle_gamma 90.00
_space_group_name_H-M_alt 'P 1'
_space_group_IT_number 1
loop_
_space_group_symop_operation_xyz
'x,y,z'
loop_
_atom_site_label
_atom_site_fract_x
_atom_site_fract_y
_atom_site_fract_z
Sr1 0.055 0.031 0.249
Sr2 0.055 0.469 0.249
Sr3 0.438 0.250 0.713
Sr4 0.562 0.750 0.287
Sr5 0.945 0.531 0.751
Sr6 0.945 0.969 0.751
Sn1 0.461 0.750 0.799
Sn2 0.539 0.250 0.201
Pt1 0.113 0.750 0.486
Pt2 0.500 0.000 0.000
Pt3 0.500 0.500 0.000
Pt4 0.887 0.250 0.514
```

A plane-wave DFT calculation with PBE was carried out for a relaxed Sr3Sn2Pt crystal.

Summary:
* VASP energy: -3.90 eV/atom
* spin magnetization: 0.00 μB/cell
* DOS(E_F): 20.446 states/eV per cell
* V: 199.26 Å³/f.u.

```
data_Sr3Sn2Pt
_cell_length_a 13.140
_cell_length_b 4.651
_cell_length_c 13.041
_cell_angle_alpha 90.00
_cell_angle_beta 90.00
_cell_angle_gamma 90.00
_space_group_name_H-M_alt 'P 1'
_space_group_IT_number 1
loop_
_space_group_symop_operation_xyz
'x,y,z'
loop_
_atom_site_label
_atom_site_fract_x
_atom_site_fract_y
_atom_site_fract_z
Sr1 0.058 0.250 0.121
Sr2 0.110 0.750 0.550
Sr3 0.219 0.250 0.797
Sr4 0.281 0.750 0.297
Sr5 0.390 0.250 0.050
Sr6 0.442 0.750 0.621
Sr7 0.558 0.250 0.379
Sr8 0.610 0.750 0.950
Sr9 0.719 0.250 0.703
Sr10 0.781 0.750 0.203
Sr11 0.890 0.250 0.450
Sr12 0.942 0.750 0.879
Sn1 0.026 0.750 0.305
Sn2 0.204 0.750 0.991
Sn3 0.296 0.250 0.491
Sn4 0.474 0.250 0.805
Sn5 0.526 0.750 0.195
Sn6 0.704 0.750 0.509
Sn7 0.796 0.250 0.009
Sn8 0.974 0.250 0.695
Pt1 0.125 0.250 0.368
Pt2 0.375 0.750 0.868
Pt3 0.625 0.250 0.132
Pt4 0.875 0.750 0.632
```

A plane-wave DFT calculation with PBE was carried out for a relaxed Sr3Sn2Pt7 crystal.

Summary:
* VASP energy: -5.36 eV/atom
* spin magnetization: 0.00 μB/cell
* DOS(E_F): 5.176 states/eV per cell
* V: 252.53 Å³/f.u.

```
data_Sr3Sn2Pt7
_cell_length_a 9.388
_cell_length_b 9.388
_cell_length_c 9.388
_cell_angle_alpha 35.75
_cell_angle_beta 35.75
_cell_angle_gamma 35.75
_space_group_name_H-M_alt 'P 1'
_space_group_IT_number 1
loop_
_space_group_symop_operation_xyz
'x,y,z'
loop_
_atom_site_label
_atom_site_fract_x
_atom_site_fract_y
_atom_site_fract_z
Sr1 0.000 0.000 0.000
Sr2 0.142 0.142 0.142
Sr3 0.858 0.858 0.858
Sn1 0.332 0.332 0.332
Sn2 0.668 0.668 0.668
Pt1 0.084 0.581 0.581
Pt2 0.419 0.419 0.916
Pt3 0.419 0.916 0.419
Pt4 0.500 0.500 0.500
Pt5 0.581 0.084 0.581
Pt6 0.581 0.581 0.084
Pt7 0.916 0.419 0.419
```

A plane-wave DFT calculation with PBE was carried out for a relaxed Sr2Sn2Pt crystal.

Summary:
* VASP energy: -4.26 eV/atom
* energy above the lowest structure with this stoichiometry: 0 meV per atom
* spin magnetization: 0.00 μB/cell
* DOS(E_F): 5.608 states/eV per cell
* V: 145.28 Å³/f.u.

```
data_Sr2Sn2Pt
_cell_length_a 6.343
_cell_length_b 6.343
_cell_length_c 11.681
_cell_angle_alpha 115.18
_cell_angle_beta 115.18
_cell_angle_gamma 44.11
_space_group_name_H-M_alt 'P 1'
_space_group_IT_number 1
loop_
_space_group_symop_operation_xyz
'x,y,z'
loop_
_atom_site_label
_atom_site_fract_x
_atom_site_fract_y
_atom_site_fract_z
Sr1 0.001 0.001 0.169
Sr2 0.189 0.189 0.615
Sr3 0.811 0.811 0.385
Sr4 0.999 0.999 0.831
Sn1 0.335 0.335 0.946
Sn2 0.485 0.485 0.620
Sn3 0.515 0.515 0.380
Sn4 0.665 0.665 0.054
Pt1 0.280 0.280 0.159
Pt2 0.720 0.720 0.841
```